No. 1
VASP calculation (PBE) on an optimized crystal structure of CaBeCr3.

abc: 4.2524 4.2524 4.2524
angles: 90.00 90.00 90.00
Closest atoms and distances in Å follow each position.
Element x y z (fractional)
Cr  0.0000  0.0000  0.5000  2 Ca 2.13
Cr  0.0000  0.5000  0.0000  2 Ca 2.13
Cr  0.5000  0.0000  0.0000  2 Ca 2.13
Ca  0.0000  0.0000  0.0000  6 Cr 2.13
Be  0.5000  0.5000  0.5000  12 Cr 3.01

DFT formation energy = 2750 meV/atom
Distance to the lowest polymorph of the same formula = 1.608 eV/atom
Spin magnetization = 1.28 μB per formula unit



No. 2
VASP calculation (PBE) on an optimized crystal structure of KHf3O.

abc: 4.8874 4.8874 4.8874
angles: 90.00 90.00 90.00
Closest atoms and distances in Å follow each position.
Element x y z (fractional)
Hf  0.5000  0.0000  0.0000  2 K 2.44
Hf  0.0000  0.0000  0.5000  2 K 2.44
Hf  0.0000  0.5000  0.0000  2 K 2.44
O  0.5000  0.5000  0.5000  12 Hf 3.46
K  0.0000  0.0000  0.0000  6 Hf 2.44

Distance to the lowest polymorph of the same formula = 2.690 eV/atom
Spin magnetization = 0.00 μB per formula unit



No. 3
VASP calculation (PBE) on an optimized crystal structure of Cs2HfTlBr6.

abc: 8.3291 8.3291 8.3304
angles: 60.01 60.01 90.00
Closest atoms and distances in Å follow each position.
Element x y z (fractional)
Br  0.2730  0.2730  0.0000  1 Hf 2.67
Br  0.7270  0.7270  0.0000  1 Hf 2.67
Br  0.7270  0.2730  0.0000  1 Hf 2.67
Br  0.2730  0.2730  0.4540  1 Hf 2.67
Br  0.2730  0.7270  0.0000  1 Hf 2.67
Br  0.7270  0.7270  0.5460  1 Hf 2.67
Cs  0.2500  0.7500  0.5000  12 Br 4.17
Cs  0.7500  0.2500  0.5000  12 Br 4.17
Tl  0.0000  0.0000  0.0000  6 Br 3.22
Hf  0.5000  0.5000  0.0000  6 Br 2.67

Total DFT energy (no corrections) = -3.778 eV per atom
Spin magnetization = 1.00 μB per formula unit



No. 4
VASP calculation (PBE) on an optimized crystal structure of Pm6Er4Sc.

abc: 5.7488 5.6007 25.7214
angles: 90.00 90.00 120.88
Closest atoms and distances in Å follow each position.
Element x y z (fractional)
Pm  0.8059  0.6118  0.3959  6 Er 3.30-3.68
Pm  0.8666  0.7331  0.6831  5 Pm 3.44-3.75, 4 Er 3.54-3.64, 3 Sc 3.63-3.72
Pm  0.1941  0.3882  0.8959  6 Er 3.30-3.68
Pm  0.8059  0.6118  0.1041  6 Er 3.30-3.68
Pm  0.5000  0.0000  0.0000  8 Er 3.19-3.52
Pm  0.1941  0.3882  0.6041  6 Er 3.30-3.68
Pm  0.8666  0.7331  0.8169  5 Pm 3.44-3.75, 4 Er 3.54-3.64, 3 Sc 3.63-3.72
Pm  0.4644  0.9288  0.2500  3 Sc 3.23-3.28, 2 Er 3.26, 2 Pm 3.62
Pm  0.1334  0.2669  0.1831  5 Pm 3.44-3.75, 4 Er 3.54-3.64, 3 Sc 3.63-3.72
Pm  0.5000  0.0000  0.5000  8 Er 3.19-3.52
Pm  0.1334  0.2669  0.3169  5 Pm 3.44-3.75, 4 Er 3.54-3.64, 3 Sc 3.63-3.72
Pm  0.5356  0.0712  0.7500  3 Sc 3.23-3.28, 2 Er 3.26, 2 Pm 3.62
Er  0.5345  0.0689  0.6233  6 Pm 3.19-3.54
Er  0.1535  0.3070  0.4554  7 Pm 3.43-3.68, 2 Er 3.62-3.74
Er  0.1535  0.3070  0.0446  7 Pm 3.43-3.68, 2 Er 3.62-3.74
Er  0.4655  0.9311  0.1233  6 Pm 3.19-3.54
Er  0.4655  0.9311  0.3767  6 Pm 3.19-3.54
Er  0.8465  0.6930  0.5446  7 Pm 3.43-3.68, 2 Er 3.62-3.74
Er  0.5345  0.0689  0.8767  6 Pm 3.19-3.54
Er  0.8465  0.6930  0.9554  7 Pm 3.43-3.68, 2 Er 3.62-3.74
Sc  0.8007  0.6014  0.2500  3 Pm 3.23-3.28
Sc  0.1993  0.3986  0.7500  3 Pm 3.23-3.28

DFT formation energy = 126 meV/atom
Spin magnetization = 0.00 μB per formula unit



No. 5
VASP calculation (PBE) on an optimized crystal structure of MoPtCl2.

abc: 5.2797 5.1313 3.1485
angles: 93.43 70.90 120.25
Closest atoms and distances in Å follow each position.
Element x y z (fractional)
Cl  0.0000  0.0000  0.0000  2 Mo 2.59, 2 Pt 2.59
Cl  0.0000  0.5000  0.5000  2 Pt 2.59, 2 Mo 2.59
Mo  0.5000  0.5000  0.0000  4 Cl 2.59
Pt  0.5000  0.0000  0.5000  4 Cl 2.59

Distance to the lowest polymorph of the same formula = 0.716 eV/atom
Spin magnetization = 2.07 μB per formula unit



No. 6
VASP calculation (PBE) on an optimized crystal structure of Nd5Hg2PtRh2.

abc: 3.7518 11.8060 11.8060
angles: 90.00 90.00 90.00
Closest atoms and distances in Å follow each position.
Element x y z (fractional)
Rh  0.0000  0.3667  0.1333  6 Nd 2.84-2.91
Rh  0.0000  0.6333  0.8667  6 Nd 2.84-2.91
Rh  0.0000  0.8667  0.3667  6 Nd 2.84-2.91
Rh  0.0000  0.1333  0.6333  6 Nd 2.84-2.91
Nd  0.5000  0.9166  0.1927  2 Rh 2.84, 2 Pt 3.11
Nd  0.5000  0.5000  0.0000  4 Rh 2.91
Nd  0.5000  0.8073  0.9166  2 Rh 2.84, 2 Pt 3.11
Nd  0.5000  0.0000  0.5000  4 Rh 2.91
Nd  0.5000  0.5834  0.6927  2 Rh 2.84, 2 Pt 3.11
Nd  0.5000  0.3073  0.5834  2 Rh 2.84, 2 Pt 3.11
Nd  0.5000  0.6927  0.4166  2 Rh 2.84, 2 Pt 3.11
Nd  0.5000  0.0834  0.8073  2 Rh 2.84, 2 Pt 3.11
Nd  0.5000  0.1927  0.0834  2 Rh 2.84, 2 Pt 3.11
Nd  0.5000  0.4166  0.3073  2 Rh 2.84, 2 Pt 3.11
Hg  0.0000  0.3279  0.8279  3 Rh 3.25-3.63, 6 Nd 3.43-3.45
Hg  0.0000  0.6721  0.1721  3 Rh 3.25-3.63, 6 Nd 3.43-3.45
Hg  0.0000  0.8279  0.6721  3 Rh 3.25-3.63, 6 Nd 3.43-3.45
Hg  0.0000  0.1721  0.3279  3 Rh 3.25-3.63, 6 Nd 3.43-3.45
Pt  0.0000  0.0000  0.0000  8 Nd 3.11
Pt  0.0000  0.5000  0.5000  8 Nd 3.11

DFT formation energy = -619 meV/atom
Spin magnetization = 0.00 μB per formula unit



No. 7
VASP calculation (PBE) on an optimized crystal structure of YLuMgAu.

abc: 5.1494 5.1494 5.1494
angles: 60.00 60.00 60.00
Closest atoms and distances in Å follow each position.
Element x y z (fractional)
Au  0.0000  0.0000  0.0000  4 Y 3.15, 4 Lu 3.15
Y  0.7500  0.7500  0.7500  4 Mg 3.15, 4 Au 3.15
Lu  0.2500  0.2500  0.2500  4 Au 3.15, 4 Mg 3.15
Mg  0.5000  0.5000  0.5000  4 Lu 3.15, 4 Y 3.15

DFT formation energy = -423 meV/atom
Spin magnetization = 0.00 μB per formula unit



No. 8
VASP calculation (PBE) on an optimized crystal structure of TlSi2As.

abc: 4.8713 4.8713 4.8713
angles: 60.00 60.00 60.00
Closest atoms and distances in Å follow each position.
Element x y z (fractional)
As  0.5000  0.5000  0.5000  4 Si 2.98, 4 Tl 2.98
Si  0.0000  0.0000  0.0000  4 Tl 2.98, 4 Si 2.98
Si  0.2500  0.2500  0.2500  4 As 2.98, 4 Si 2.98
Tl  0.7500  0.7500  0.7500  4 As 2.98, 4 Si 2.98

Distance to the lowest polymorph of the same formula = 0.421 eV/atom
Spin magnetization = 0.00 μB per formula unit



No. 9
VASP calculation (PBE) on an optimized crystal structure of LiPtI2N.

abc: 5.2296 5.2296 3.5815
angles: 90.00 90.00 90.00
Closest atoms and distances in Å follow each position.
Element x y z (fractional)
I  0.0000  0.5000  0.0000  2 Li 2.61
I  0.5000  0.0000  0.0000  2 Li 2.61
Pt  0.5000  0.5000  0.5000  8 I 3.17
Li  0.0000  0.0000  0.0000  2 N 1.79
N  0.0000  0.0000  0.5000  2 Li 1.79

Distance to the lowest polymorph of the same formula = 1.074 eV/atom
Spin magnetization = 0.00 μB per formula unit



No. 10
VASP calculation (PBE) on an optimized crystal structure of CuTe.

abc: 7.1104 7.1104 3.1515
angles: 90.00 90.00 120.00
Closest atoms and distances in Å follow each position.
Element x y z (fractional)
Te  0.6667  0.3333  0.5000  6 Cu 2.77
Te  0.0000  0.0000  0.0000  3 Cu 2.58
Te  0.3333  0.6667  0.5000  6 Cu 2.77
Cu  0.3622  0.0000  0.0000  5 Te 2.58-2.77
Cu  0.0000  0.3622  0.0000  5 Te 2.58-2.77
Cu  0.6378  0.6378  0.0000  5 Te 2.58-2.77

Total DFT energy (no corrections) = -3.568 eV per atom
Spin magnetization = 0.00 μB per formula unit



No. 11
VASP calculation (PBE) on an optimized crystal structure of HfZr8Sn2.

abc: 5.3609 7.9799 7.9799
angles: 120.52 103.70 103.70
Closest atoms and distances in Å follow each position.
Element x y z (fractional)
Zr  0.2929  0.5981  0.5981  3 Zr 2.76-3.02, 1 Hf 2.83, 2 Sn 3.06
Zr  0.1534  0.3195  0.0998  5 Zr 2.92-3.26, 2 Sn 3.04-3.05
Zr  0.7071  0.4019  0.4019  3 Zr 2.76-3.02, 1 Hf 2.83, 2 Sn 3.06
Zr  0.8466  0.9002  0.6805  5 Zr 2.92-3.26, 2 Sn 3.04-3.05
Zr  0.8466  0.6805  0.9002  5 Zr 2.92-3.26, 2 Sn 3.04-3.05
Zr  0.1534  0.0998  0.3195  5 Zr 2.92-3.26, 2 Sn 3.04-3.05
Zr  0.5000  0.2138  0.7862  2 Sn 2.95, 1 Hf 2.96, 2 Zr 3.26
Zr  0.5000  0.7862  0.2138  2 Sn 2.95, 1 Hf 2.96, 2 Zr 3.26
Sn  0.0000  0.3033  0.6967  8 Zr 2.95-3.06
Sn  0.0000  0.6967  0.3033  8 Zr 2.95-3.06
Hf  0.5000  0.0000  0.0000  4 Zr 2.83-2.96

DFT formation energy = -80 meV/atom
Spin magnetization = 0.00 μB per formula unit



No. 12
VASP calculation (PBE) on an optimized crystal structure of SrAl2Ni.

abc: 5.5066 5.7986 2.9597
angles: 82.01 75.84 114.35
Closest atoms and distances in Å follow each position.
Element x y z (fractional)
Ni  0.0000  0.5000  0.5000  2 Sr 2.79, 2 Ni 2.96, 4 Al 3.07
Al  0.0000  0.0000  0.0000  4 Al 2.79-2.96, 2 Sr 3.07, 2 Ni 3.07
Al  0.5000  0.0000  0.5000  4 Al 2.79-2.96, 2 Ni 3.07, 2 Sr 3.07
Sr  0.5000  0.5000  0.0000  2 Ni 2.79, 2 Sr 2.96, 4 Al 3.07

DFT formation energy = 320 meV/atom
Spin magnetization = 0.00 μB per formula unit



Question: What is the formula in the tenth record?
Answer: CuTe



Question: Look up the spin magnetization of the third one.
Answer: 1.00 μB per formula unit



Question: Among the records above, which one has the highest spin magnetization?
Answer: MoPtCl2